The following is a PBE calculation of crystalline NaAuO3 at its relaxed geometry, from Alexandria via LeMat-Bulk.

Calculated values
Magnetic moment ... 0.00 μB/cell
D(E_F) ... 0.429 states/eV/atom
ΔE_f (raw) ... -0.12 eV/atom
Crystal system ... orthorhombic

abc: 6.7191 6.5632 6.3853
angles: 90.00 90.00 90.00
Closest atoms and distances in Å follow each position.
Space group Pnma (No. 62)
Asymmetric unit:
Na 0.0000 0.0000 0.0000 x4  4 O 2.29-2.54
Au 0.0605 0.2500 0.4704 x4  5 O 1.95-2.12
O 0.1201 0.5530 0.3725 x8  2 Au 2.04-2.12
O 0.1785 0.7500 0.8353 x4  1 Au 1.95

The following is a PBE calculation of crystalline Na7Au2O2 at its relaxed geometry, from Alexandria via LeMat-Bulk.

Calculated values
Magnetic moment ... 0.00 μB/cell
D(E_F) ... 0.169 states/eV/atom
ΔE_f (raw) ... -0.68 eV/atom
Crystal system ... monoclinic

abc: 9.6407 14.9475 3.5841
angles: 90.00 110.41 90.00
Closest atoms and distances in Å follow each position.
Space group C2/m (No. 12)
Asymmetric unit:
Na 0.0000 0.0000 0.0000 x2  4 O 2.48
Na 0.1644 0.5000 0.6869 x4  2 O 2.22-2.23
Na 0.2153 0.1496 0.7123 x8  1 O 2.25
Au 0.0000 0.3084 0.5000 x4  8 Na 3.07-3.24
O 0.1896 0.0000 0.6766 x4  6 Na 2.22-2.48

The following is a PBE calculation of crystalline Na5AuO3 at its relaxed geometry, from Alexandria via LeMat-Bulk.

Calculated values
Magnetic moment ... 0.12 μB/cell
ΔE_f (raw) ... -1.01 eV/atom
Crystal system ... monoclinic

abc: 10.0734 7.4533 8.5839
angles: 90.00 104.94 90.00
Closest atoms and distances in Å follow each position.
Space group C2/m (No. 12)
Asymmetric unit:
Na 0.0000 0.1956 0.0000 x4  3 O 2.27-2.37
Na 0.0760 0.0000 0.3649 x4  2 O 2.28
Na 0.1584 0.3128 0.7017 x8  3 O 2.32-2.46
Na 0.2234 0.5000 0.0542 x4  3 O 2.18-2.34
Au 0.1634 0.5000 0.3922 x4  2 O 2.04-2.09
O 0.0000 0.5000 0.0000 x2  4 Na 2.18-2.27
O 0.0000 0.5000 0.5000 x2  2 Au 2.09
O 0.1561 0.0000 0.6738 x4  1 Au 2.04, 1 Na 2.28
O 0.1706 0.0000 0.1502 x4  6 Na 2.28-2.37

The following is a PBE calculation of crystalline NaAuO2 at its relaxed geometry, from Alexandria via LeMat-Bulk.

Calculated values
Magnetic moment ... 0.00 μB/cell
ΔE_f (raw) ... -0.76 eV/atom
Crystal system ... monoclinic

abc: 6.8151 3.0681 6.2502
angles: 90.00 119.30 90.00
Closest atoms and distances in Å follow each position.
Space group C2/m (No. 12)
Asymmetric unit:
Na 0.0000 0.0000 0.0000 x2  6 O 2.44-2.49
Au 0.0000 0.0000 0.5000 x2  4 O 2.05
O 0.0916 0.5000 0.7477 x4  2 Au 2.05

The following is a PBE calculation of crystalline NaAu2O2 at its relaxed geometry, from Alexandria via LeMat-Bulk.

Calculated values
Magnetic moment ... 0.00 μB/cell
D(E_F) ... 0.828 states/eV/atom
ΔE_f (raw) ... -0.36 eV/atom
Crystal system ... monoclinic

abc: 5.8683 3.3972 7.4148
angles: 90.00 106.07 90.00
Closest atoms and distances in Å follow each position.
Space group C2/m (No. 12)
Asymmetric unit:
Na 0.0000 0.0000 0.0000 x2  6 O 2.46
Au 0.2089 0.0000 0.6259 x4  3 O 2.24-2.30
O 0.0924 0.5000 0.7907 x4  3 Au 2.24-2.30, 3 Na 2.46

The following is a PBE calculation of crystalline Na12Au3O5 at its relaxed geometry, from Alexandria via LeMat-Bulk.

Calculated values
Magnetic moment ... 9.13 μB/cell
D(E_F) ... 0.606 states/eV/atom
ΔE_f (raw) ... -0.80 eV/atom
Crystal system ... cubic

abc: 15.1479 15.1479 15.1479
angles: 90.00 90.00 90.00
Closest atoms and distances in Å follow each position.
Space group Ia-3d (No. 230)
Asymmetric unit:
Na 0.0384 0.0443 0.6411 x96  2 O 2.21-2.32
Au 0.0000 0.2500 0.1250 x24  8 Na 3.05-3.18
O 0.0000 0.0000 0.0000 x16  6 Na 2.32
O 0.0000 0.2500 0.3750 x24  4 Na 2.21